Material: Nb2GeCl
Method: DFT, GGA-PBE
State: relaxed

The structure in POSCAR format:
```
Nb2GeCl
1.0
-2.623 0.938 3.294
1.447 -3.457 2.137
5.481 3.443 6.211
Nb Ge Cl
4 2 2
Direct
0.131 0.625 0.250
0.619 0.125 0.250
0.875 0.869 0.750
0.375 0.381 0.750
0.000 0.000 0.000
0.750 0.250 0.500
0.250 0.750 0.500
0.500 0.500 0.000
```

Calculated values
**Space-group type**: I-42d
**E above lowest polymorph**: 0.3609 eV/atom

***

Material: LaScCo2Cl
Method: DFT, GGA-PBE
State: relaxed

The structure in POSCAR format:
```
LaScCo2Cl
1.0
-0.905 -0.250 -4.276
-4.886 -1.448 1.118
-1.240 4.199 0.017
Sc Cl Co La
1 1 2 1
Direct
0.500 0.500 0.500
0.000 0.000 0.000
0.500 0.000 0.000
0.000 0.000 0.500
0.000 0.500 0.000
```

Calculated values
**Total DFT energy (no corrections)**: -5.077 eV/atom
**Space-group type**: P4/mmm

***

Material: CsTiIr3
Method: DFT, GGA-PBE
State: relaxed

The structure in POSCAR format:
```
CsTiIr3
1.0
4.924 0.000 0.000
0.000 4.924 0.000
0.000 0.000 4.924
Ir Cs Ti
3 1 1
Direct
0.500 0.000 0.000
0.000 0.500 0.000
0.000 0.000 0.500
0.000 0.000 0.000
0.500 0.500 0.500
```

Calculated values
**DFT formation energy**: 2898 meV/atom
**Space-group type**: Pm-3m

***

Material: ZnHgTe2
Method: DFT, GGA-PBE
State: relaxed

The structure in POSCAR format:
```
ZnHgTe2
1.0
-4.887 1.385 0.854
-0.276 -5.141 -0.144
0.652 -0.146 3.968
Zn Te Hg
1 2 1
Direct
0.500 0.000 0.500
0.000 0.000 0.000
0.500 0.500 0.000
0.000 0.500 0.500
```

Calculated values
**Total DFT energy (no corrections)**: -1.737 eV/atom
**Space-group type**: Cmmm

***

Material: HfMn2AlH
Method: DFT, GGA-PBE
State: relaxed

The structure in POSCAR format:
```
HfMn2AlH
1.0
-0.161 -3.908 -0.708
2.210 -0.677 3.234
-3.253 -0.259 2.169
Al Hf Mn H
1 1 2 1
Direct
0.500 0.500 0.500
0.000 0.000 0.500
0.500 0.000 0.000
0.000 0.500 0.000
0.000 0.000 0.000
```

Calculated values
**Total DFT energy (no corrections)**: -7.224 eV/atom
**Space-group type**: P4/mmm

***

Material: Sc2ReMo
Method: DFT, GGA-PBE
State: relaxed

The structure in POSCAR format:
```
Sc2ReMo
1.0
1.327 -5.828 8.053
4.092 -5.830 7.060
3.155 -3.649 8.792
Re Sc Mo
1 2 1
Direct
0.500 0.500 0.500
0.909 0.909 0.909
0.091 0.091 0.091
0.000 0.000 0.000
```

Calculated values
**DFT formation energy**: 524 meV/atom
**Space-group type**: R-3m
**E above lowest polymorph**: 0.6137 eV/atom

***

Material: Pm4Y19Tm6
Method: DFT, GGA-PBE
State: relaxed

The structure in POSCAR format:
```
Pm4Y19Tm6
1.0
-1.150 3.515 -10.179
2.618 -10.509 -0.083
-9.311 1.358 5.362
Pm Tm Y
4 6 19
Direct
0.642 0.000 0.000
0.358 0.358 0.358
0.000 0.000 0.642
0.000 0.642 0.000
0.876 0.376 0.500
0.500 0.876 0.376
0.124 0.624 0.500
0.624 0.500 0.124
0.500 0.124 0.624
0.376 0.500 0.876
0.000 0.264 0.264
0.793 0.340 0.010
0.264 0.264 0.000
0.660 0.453 0.670
0.207 0.217 0.547
0.670 0.660 0.453
0.453 0.670 0.660
0.000 0.000 0.000
0.217 0.547 0.207
0.264 0.000 0.264
0.736 0.000 0.736
0.990 0.330 0.783
0.736 0.736 0.000
0.010 0.793 0.340
0.340 0.010 0.793
0.547 0.207 0.217
0.783 0.990 0.330
0.000 0.736 0.736
0.330 0.783 0.990
```

Calculated values
**DFT formation energy**: 389 meV/atom
**Space-group type**: I23

***

Material: Sr2Al6Au3
Method: DFT, GGA-PBE
State: relaxed

The structure in POSCAR format:
```
Sr2Al6Au3
1.0
-1.737 -0.077 -3.955
7.088 -2.081 -3.073
-5.146 -5.648 2.371
Sr Au Al
2 3 6
Direct
0.000 0.667 0.333
0.000 0.333 0.667
0.500 0.368 0.368
0.500 0.632 0.000
0.500 0.000 0.632
0.000 0.191 0.191
0.500 0.701 0.701
0.500 0.299 0.000
0.500 0.000 0.299
0.000 0.809 0.000
0.000 0.000 0.809
```

Calculated values
**DFT formation energy**: -507 meV/atom
**Space-group type**: P-62m

***

Asked for density across the records above, the calculation gives 6.22; 5.60; 10.54; 8.32; 8.49; 8.36; 5.57; 6.43 g cm⁻³ in order.
Asked for volume across the records above, the calculation gives 157; 100; 119; 104; 62; 74; 978; 239 Å³ per cell in order.